No. 1
# AcDyC

Crystalline AcDyC at its relaxed geometry (PBE-GGA, the Alexandria database).

Unit cell a=6.7508 b=3.7370 c=3.7370 alpha=120.00 beta=90.00 gamma=90.00
Fractional positions:
Dy1 0.1344 0.0000 0.0000
C1 0.3074 0.3333 0.6667
Ac1 0.5582 0.6667 0.3333

No. 2
# CaMn2Au

Crystalline CaMn2Au at its relaxed geometry (PBE-GGA, the Alexandria database).

Unit cell a=5.2055 b=5.2055 c=5.2055 alpha=132.43 beta=132.43 gamma=69.55
Each line ends with the local moment (μB).
Fractional positions:
Ca1 0.7500 0.2500 0.5000  -0.04
Mn1 0.0000 0.0000 0.0000  3.60
Au1 0.2500 0.7500 0.5000  0.00
Mn2 0.5000 0.5000 0.0000  3.60

No. 3
# In3AsC

Crystalline In3AsC at its relaxed geometry (PBE-GGA, the Alexandria database).

Unit cell a=4.7427 b=4.7427 c=4.7427 alpha=90.00 beta=90.00 gamma=90.00
Fractional positions:
In1 0.0000 0.5000 0.0000
In2 0.0000 0.0000 0.5000
C1 0.0000 0.0000 0.0000
As1 0.5000 0.5000 0.5000
In3 0.5000 0.0000 0.0000

No. 4
# Tb2Pm4ErSc

Crystalline Tb2Pm4ErSc at its relaxed geometry (PBE-GGA, the Alexandria database).

Unit cell a=5.0770 b=5.0648 c=11.1463 alpha=62.95 beta=90.00 gamma=90.00
Fractional positions:
Tb1 0.0000 0.0000 0.0000
Pm1 0.0000 0.2447 0.2547
Sc1 0.0000 0.5000 0.5000
Pm2 0.5000 0.7455 0.2542
Pm3 0.5000 0.2545 0.7458
Er1 0.5000 0.5000 0.0000
Tb2 0.5000 0.0000 0.5000
Pm4 0.0000 0.7553 0.7453

No. 5
# SrTa2Tc

Crystalline SrTa2Tc at its relaxed geometry (PBE-GGA, the Alexandria database).

Unit cell a=9.8702 b=9.8702 c=9.8702 alpha=18.42 beta=18.42 gamma=18.42
Fractional positions:
Ta1 0.9874 0.9874 0.9874
Sr1 0.7558 0.7558 0.7558
Tc1 0.5128 0.5128 0.5128
Ta2 0.2440 0.2440 0.2440

No. 6
# Y4C3

Crystalline Y4C3 at its relaxed geometry (PBE-GGA, the Alexandria database).

Unit cell a=5.0805 b=5.0805 c=5.0805 alpha=90.00 beta=90.00 gamma=90.00
Fractional positions:
Y1 0.5000 0.5000 0.0000
Y2 0.0000 0.5000 0.5000
Y3 0.5000 0.0000 0.5000
C1 0.0000 0.0000 0.5000
C2 0.0000 0.5000 0.0000
Y4 0.0000 0.0000 0.0000
C3 0.5000 0.0000 0.0000

No. 7
# CaPrZn2Cu2

Crystalline CaPrZn2Cu2 at its relaxed geometry (PBE-GGA, the Alexandria database).

Unit cell a=4.4194 b=4.4194 c=7.5167 alpha=90.00 beta=90.00 gamma=120.00
Fractional positions:
Zn1 0.3333 0.6667 0.2498
Pr1 0.0000 0.0000 0.0000
Ca1 0.0000 0.0000 0.5000
Cu1 0.6667 0.3333 0.2447
Zn2 0.6667 0.3333 0.7502
Cu2 0.3333 0.6667 0.7553

No. 8
# TmAgRhAu

Crystalline TmAgRhAu at its relaxed geometry (PBE-GGA, the Alexandria database).

Unit cell a=4.0094 b=4.0838 c=4.4258 alpha=90.00 beta=90.00 gamma=90.00
Fractional positions:
Ag1 0.5000 0.0000 0.5000
Tm1 0.5000 0.5000 0.0000
Au1 0.0000 0.5000 0.5000
Rh1 0.0000 0.0000 0.0000

No. 9
# SrAc2PaAs4

Crystalline SrAc2PaAs4 at its relaxed geometry (PBE-GGA, the Alexandria database).

Unit cell a=4.3985 b=7.6158 c=7.6065 alpha=109.22 beta=90.00 gamma=90.00
Fractional positions:
Ac1 0.5000 0.0000 0.5000
As1 0.0000 0.2331 0.7679
Ac2 0.0000 0.5000 0.5000
As2 0.0000 0.7669 0.2321
Pa1 0.0000 0.0000 0.0000
As3 0.5000 0.7733 0.7754
As4 0.5000 0.2267 0.2246
Sr1 0.5000 0.5000 0.0000

No. 10
# Pm7Ni2Au2

Crystalline Pm7Ni2Au2 at its relaxed geometry (PBE-GGA, the Alexandria database).

Unit cell a=6.8597 b=7.0428 c=6.8597 alpha=90.00 beta=110.83 gamma=90.00
Fractional positions:
Pm1 0.4998 0.2471 0.5002
Pm2 0.5003 0.7445 0.9998
Pm3 0.9998 0.2555 0.5003
Pm4 0.4997 0.2555 0.0002
Pm5 0.0002 0.7445 0.4997
Pm6 0.5002 0.7529 0.4998
Au1 0.1817 0.5000 0.1817
Ni1 0.2994 0.0000 0.7006
Au2 0.8183 0.5000 0.8183
Pm7 0.0000 0.0000 0.0000
Ni2 0.7006 0.0000 0.2994

No. 11
# RbTa3Au

Crystalline RbTa3Au at its relaxed geometry (PBE-GGA, the Alexandria database).

Unit cell a=5.1563 b=5.1563 c=5.1563 alpha=90.00 beta=90.00 gamma=90.00
Each line ends with the local moment (μB).
Fractional positions:
Ta1 0.0000 0.5000 0.0000  0.59
Rb1 0.5000 0.5000 0.5000  0.06
Ta2 0.5000 0.0000 0.0000  0.63
Ta3 0.0000 0.0000 0.5000  0.61
Au1 0.0000 0.0000 0.0000  0.08

No. 12
# Zr2NF

Crystalline Zr2NF at its relaxed geometry (PBE-GGA, the Alexandria database).

Unit cell a=4.1412 b=4.1412 c=4.1412 alpha=60.00 beta=60.00 gamma=60.00
Fractional positions:
Zr1 0.7500 0.7500 0.7500
N1 0.0000 0.0000 0.0000
F1 0.5000 0.5000 0.5000
Zr2 0.2500 0.2500 0.2500

These records have electronic total energy values of -6.02 -5.67 -3.73 -4.87 -8.32 -7.76 -3.16 -5.09 -6.02 -4.94 -5.95 -7.89 eV per atom, in the order they appear.